# 1
Below is a geometry-optimized CsBP3 structure, with properties calculated at the GGA-PBE level.

Summary:
- Energy relative to the lowest polymorph listed for this composition: 9.91 eV/f.u.
- Magnetization: 2.14 Bohr magnetons per cell

a = 5.5895 Å, b = 5.5895 Å, c = 5.5895 Å
α = 90.00°, β = 90.00°, γ = 90.00°
Closest atoms and distances in Å follow each position.
Space group Pm-3m (No. 221)
Inequivalent atoms, fractional coordinates:
Cs: 0.0000 0.0000 0.0000  6 P 2.79
B: 0.5000 0.5000 0.5000  12 P 3.95
P: 0.0000 0.0000 0.5000  2 Cs 2.79

***

# 2
Below is a geometry-optimized Cs2BP structure, with properties calculated at the GGA-PBE level.

Summary:
- Energy relative to the lowest polymorph listed for this composition: 0.00 eV/f.u.
- Magnetization: 0.00 Bohr magnetons per cell

a = 8.2677 Å, b = 8.2677 Å, c = 8.2677 Å
α = 90.00°, β = 90.00°, γ = 90.00°
Closest atoms and distances in Å follow each position.
Space group Fm-3m (No. 225)
Inequivalent atoms, fractional coordinates:
Cs: 0.2500 0.2500 0.2500  4 P 3.58, 4 B 3.58
B: 0.0000 0.0000 0.0000  8 Cs 3.58
P: 0.0000 0.0000 0.5000  8 Cs 3.58

***

What did the second record say?
Below is a geometry-optimized Cs2BP structure, with properties calculated at the GGA-PBE level.

Summary:
- Energy relative to the lowest polymorph listed for this composition: 0.00 eV/f.u.
- Magnetization: 0.00 Bohr magnetons per cell

a = 8.2677 Å, b = 8.2677 Å, c = 8.2677 Å
α = 90.00°, β = 90.00°, γ = 90.00°
Closest atoms and distances in Å follow each position.
Space group Fm-3m (No. 225)
Inequivalent atoms, fractional coordinates:
Cs: 0.2500 0.2500 0.2500  4 P 3.58, 4 B 3.58
B: 0.0000 0.0000 0.0000  8 Cs 3.58
P: 0.0000 0.0000 0.5000  8 Cs 3.58